Crystalline AsOs2W at its relaxed geometry, computed with GGA-PBEsol.

Unit cell a=2.942 b=4.442 c=5.164 alpha=115.48 beta=106.55 gamma=90.00
Sites, in units of the cell vectors:
As1 0.255 0.755 0.511
Os1 0.973 0.973 0.946
Os2 0.748 0.248 0.496
W1 0.524 0.524 0.047

Total moment in μB per atom: 0.000
Electronic total energy in eV per cell: -42.25
SG: Imm2
Fermi-level density of states in states/eV/f.u.: 2.9
DFT formation energy in eV/atom: 0.273

Crystalline AsOsW2 at its relaxed geometry, computed with GGA-PBEsol.

Unit cell a=4.412 b=4.412 c=4.412 alpha=60.00 beta=60.00 gamma=60.00
Sites, in units of the cell vectors:
As1 0.500 0.500 0.500
Os1 0.250 0.250 0.250
W1 0.000 0.000 0.000
W2 0.750 0.750 0.750

Total moment in μB per atom: 0.001
Electronic total energy in eV per cell: -42.89
SG: F-43m
Fermi-level density of states in states/eV/f.u.: 5.5
DFT formation energy in eV/atom: 0.512

Crystalline AsOsW2 at its relaxed geometry, computed with GGA-PBEsol.

Unit cell a=3.068 b=3.068 c=6.419 alpha=90.00 beta=90.00 gamma=90.00
Sites, in units of the cell vectors:
As1 0.000 0.000 0.484
Os1 0.500 0.500 0.755
W1 0.000 0.000 0.995
W2 0.500 0.500 0.266

Total moment in μB per atom: 0.000
Electronic total energy in eV per cell: -43.91
SG: P4mm
Fermi-level density of states in states/eV/f.u.: 2.7
DFT formation energy in eV/atom: 0.257

Crystalline AsOs2W at its relaxed geometry, computed with GGA-PBEsol.

Unit cell a=2.810 b=4.091 c=5.240 alpha=90.00 beta=104.50 gamma=90.00
Sites, in units of the cell vectors:
As1 0.500 0.500 0.500
Os1 0.869 0.000 0.740
Os2 0.131 0.000 0.260
W1 0.500 0.500 0.000

Total moment in μB per atom: 0.000
Electronic total energy in eV per cell: -42.31
SG: P2/m
Fermi-level density of states in states/eV/f.u.: 2.2
DFT formation energy in eV/atom: 0.258

Crystalline YAs3Os at its relaxed geometry, computed with GGA-PBEsol.

Unit cell a=4.800 b=4.800 c=4.800 alpha=90.00 beta=90.00 gamma=90.00
Sites, in units of the cell vectors:
Y1 0.500 0.500 0.500
As1 0.000 0.500 0.000
As2 0.000 0.000 0.500
As3 0.500 0.000 0.000
Os1 0.000 0.000 0.000

Total moment in μB per atom: 0.000
Electronic total energy in eV per cell: -33.24
SG: Pm-3m
Fermi-level density of states in states/eV/f.u.: 5.4
DFT formation energy in eV/atom: 0.223

Crystalline ZnAs2Os at its relaxed geometry, computed with GGA-PBEsol.

Unit cell a=3.111 b=4.438 c=4.438 alpha=90.00 beta=90.00 gamma=90.00
Sites, in units of the cell vectors:
As1 0.000 0.000 0.500
As2 0.000 0.500 0.000
Os1 0.500 0.500 0.500
Zn1 0.500 0.000 0.000

Total moment in μB per atom: 0.000
Electronic total energy in eV per cell: -22.11
SG: P4/mmm
Fermi-level density of states in states/eV/f.u.: 2.6
DFT formation energy in eV/atom: 0.474

Crystalline ZnAsOs2 at its relaxed geometry, computed with GGA-PBEsol.

Unit cell a=2.835 b=2.835 c=8.300 alpha=90.00 beta=90.00 gamma=118.66
Sites, in units of the cell vectors:
As1 0.500 0.500 0.000
Os1 0.000 0.000 0.240
Os2 0.000 0.000 0.760
Zn1 0.500 0.500 0.500

Total moment in μB per atom: 0.000
Electronic total energy in eV per cell: -28.85
SG: Cmmm
Fermi-level density of states in states/eV/f.u.: 3.3
DFT formation energy in eV/atom: 0.567

Crystalline Zn2AsOs at its relaxed geometry, computed with GGA-PBEsol.

Unit cell a=3.880 b=3.880 c=4.678 alpha=114.50 beta=114.50 gamma=90.00
Sites, in units of the cell vectors:
As1 0.500 0.500 0.000
Os1 0.250 0.750 0.500
Zn1 0.000 0.000 0.000
Zn2 0.750 0.250 0.500

Total moment in μB per atom: 0.000
Electronic total energy in eV per cell: -19.40
SG: I-4m2
Fermi-level density of states in states/eV/f.u.: 3.3
DFT formation energy in eV/atom: 0.272

Crystalline ZrAsOs2 at its relaxed geometry, computed with GGA-PBEsol.

Unit cell a=3.037 b=4.503 c=4.601 alpha=90.00 beta=90.00 gamma=90.00
Sites, in units of the cell vectors:
As1 0.000 0.500 0.500
Os1 0.000 0.000 0.000
Os2 0.500 0.000 0.500
Zr1 0.500 0.500 0.000

Total moment in μB per atom: 0.000
Electronic total energy in eV per cell: -38.44
SG: Pmmm
Fermi-level density of states in states/eV/f.u.: 3.6
DFT formation energy in eV/atom: 0.047

Crystalline ZrAsOs2 at its relaxed geometry, computed with GGA-PBEsol.

Unit cell a=4.485 b=4.485 c=4.485 alpha=60.00 beta=60.00 gamma=60.00
Sites, in units of the cell vectors:
As1 0.500 0.500 0.500
Os1 0.000 0.000 0.000
Os2 0.750 0.750 0.750
Zr1 0.250 0.250 0.250

Total moment in μB per atom: 0.000
Electronic total energy in eV per cell: -37.62
SG: F-43m
Fermi-level density of states in states/eV/f.u.: 5.2
DFT formation energy in eV/atom: 0.252

Crystalline ZrAsOs2 at its relaxed geometry, computed with GGA-PBEsol.

Unit cell a=2.987 b=4.709 c=5.045 alpha=107.97 beta=107.22 gamma=90.00
Sites, in units of the cell vectors:
As1 0.267 0.761 0.535
Os1 0.998 0.043 0.995
Os2 0.732 0.163 0.464
Zr1 0.503 0.533 0.005

Total moment in μB per atom: 0.000
Electronic total energy in eV per cell: -38.97
SG: Cm
Fermi-level density of states in states/eV/f.u.: 3.5
DFT formation energy in eV/atom: -0.085

Crystalline Zr3AsOs at its relaxed geometry, computed with GGA-PBEsol.

Unit cell a=4.968 b=4.968 c=4.968 alpha=90.00 beta=90.00 gamma=90.00
Sites, in units of the cell vectors:
As1 0.500 0.500 0.500
Os1 0.000 0.000 0.000
Zr1 0.000 0.500 0.000
Zr2 0.000 0.000 0.500
Zr3 0.500 0.000 0.000

Total moment in μB per atom: 0.000
Electronic total energy in eV per cell: -43.14
SG: Pm-3m
Fermi-level density of states in states/eV/f.u.: 5.8
DFT formation energy in eV/atom: 0.290